VASP calculation (PBE) on PmSmNiRh after structural relaxation.

abc: 3.9270 4.1620 5.7577
angles: 90.00 109.94 90.00
Closest atoms and distances in Å follow each position.
Atoms (fractional coordinates):
Pm: 0.1405 0.0000 0.2811  4 Ni 2.94, 3 Rh 3.04-3.08
Rh: 0.4214 0.0000 0.8428  2 Ni 2.68, 4 Sm 2.94
Sm: 0.8604 0.5000 0.7208  4 Rh 2.94, 3 Ni 3.06
Ni: 0.5776 0.5000 0.1553  2 Rh 2.68, 4 Pm 2.94

DFT formation energy	-2.22	eV/f.u.
crystal system	orthorhombic
symmetry	Amm2, No. 38
M_tot	0.0	μB/f.u.